NbIr3Rh4: relaxed, PBE.

As for the total energy: -130.1 eV for the cell shown. For the formation energy, the calculation gives 127.9 meV/atom.

It has space group Immm (No. 71), with a = 2.759 Å, b = 7.165 Å, c = 12.802 Å, α = 90.00°, β = 90.00° and γ = 90.00°. The inequivalent atoms are Nb at (0.000, 0.000, 0.000), Ir at (0.000, 0.000, 0.500), Ir at (0.000, 0.500, 0.328) and Rh at (0.000, 0.314, 0.150).


NaCoGe2Ir: relaxed, PBE.

As for the total energy: -55.5 eV for the cell shown. For the formation energy, the calculation gives -243.0 meV/atom.

It has space group I-4m2 (No. 119), with a = 4.039 Å, b = 4.039 Å, c = 10.524 Å, α = 90.00°, β = 90.00° and γ = 90.00°. The inequivalent atoms are Na at (0.000, 0.000, 0.000), Co at (0.000, 0.500, 0.250), Ge at (0.000, 0.000, 0.375) and Ir at (0.000, 0.500, 0.750).